Record 1
Below is crystalline TlP2W at its relaxed geometry, with properties calculated at the PBE level.

The structure in CIF format:
```
data_TlP2W
_space_group_name_H-M_alt 'P 1'
_space_group_IT_number 1
_cell_length_a 4.626
_cell_length_b 4.626
_cell_length_c 3.278
_cell_angle_alpha 90.00
_cell_angle_beta 90.00
_cell_angle_gamma 102.93
loop_
_space_group_symop_operation_xyz
'x,y,z'
loop_
_atom_site_label
_atom_site_fract_x
_atom_site_fract_y
_atom_site_fract_z
Tl1 0.000 0.000 0.000
P1 0.000 0.500 0.500
P2 0.500 0.000 0.500
W1 0.500 0.500 0.000
```

Calculated values
Its total DFT energy (no corrections) is -22.667 eV/f.u. For the theoretical density, the calculation gives 10.936 g cm⁻³. The calculated formation energy is 0.8680 eV per atom.

---

Record 2
Below is crystalline TlPW at its relaxed geometry, with properties calculated at the PBE level.

The structure in CIF format:
```
data_TlPW
_space_group_name_H-M_alt 'P 1'
_space_group_IT_number 1
_cell_length_a 4.432
_cell_length_b 4.432
_cell_length_c 4.432
_cell_angle_alpha 60.00
_cell_angle_beta 60.00
_cell_angle_gamma 60.00
loop_
_space_group_symop_operation_xyz
'x,y,z'
loop_
_atom_site_label
_atom_site_fract_x
_atom_site_fract_y
_atom_site_fract_z
Tl1 0.000 0.000 0.000
P1 0.500 0.500 0.500
W1 0.250 0.250 0.250
```

Calculated values
Its total DFT energy (no corrections) is -17.532 eV/f.u. For the theoretical density, the calculation gives 11.312 g cm⁻³. The calculated formation energy is 1.0657 eV per atom.

---

Record 3
Below is crystalline TlP4W at its relaxed geometry, with properties calculated at the PBE level.

The structure in CIF format:
```
data_TlP4W
_space_group_name_H-M_alt 'P 1'
_space_group_IT_number 1
_cell_length_a 5.208
_cell_length_b 5.208
_cell_length_c 5.208
_cell_angle_alpha 60.00
_cell_angle_beta 60.00
_cell_angle_gamma 60.00
loop_
_space_group_symop_operation_xyz
'x,y,z'
loop_
_atom_site_label
_atom_site_fract_x
_atom_site_fract_y
_atom_site_fract_z
Tl1 0.000 0.000 0.000
P1 0.382 0.382 0.382
P2 0.382 0.382 0.853
P3 0.382 0.853 0.382
P4 0.853 0.382 0.382
W1 0.750 0.750 0.750
```

Calculated values
Its total DFT energy (no corrections) is -30.873 eV/f.u. For the theoretical density, the calculation gives 8.511 g cm⁻³. The calculated formation energy is 1.0143 eV per atom.